[1]
Compound: Ti2AgOs
Source: the Alexandria database
Functional: PBE
Structure: relaxed

- Volume: 16.3 Å³ per atom
- Formation energy from the elements: -0.28 eV/atom

Unit cell a=3.0506 b=3.0506 c=6.9876 alpha=90.00 beta=90.00 gamma=90.00
Closest atoms and distances in Å follow each position.
Positions (direct):
1 Os 0.5000 0.5000 0.0000  8 Ti 2.65
2 Ti 0.0000 0.0000 0.7787  4 Os 2.65, 4 Ag 2.91
3 Ag 0.5000 0.5000 0.5000  8 Ti 2.91, 4 Ag 3.05
4 Ti 0.0000 0.0000 0.2213  4 Os 2.65, 4 Ag 2.91

[2]
Compound: ZrTiAgOs
Source: the Alexandria database
Functional: PBE
Structure: relaxed

- Volume: 17.5 Å³ per atom
- Formation energy from the elements: -0.19 eV/atom

Unit cell a=4.6256 b=4.6256 c=4.6256 alpha=60.00 beta=60.00 gamma=60.00
Closest atoms and distances in Å follow each position.
Positions (direct):
1 Zr 0.0000 0.0000 0.0000  4 Os 2.83, 4 Ag 2.83
2 Ti 0.5000 0.5000 0.5000  4 Os 2.83, 4 Ag 2.83
3 Os 0.7500 0.7500 0.7500  4 Ti 2.83, 4 Zr 2.83
4 Ag 0.2500 0.2500 0.2500  4 Zr 2.83, 4 Ti 2.83

[3]
Compound: TlAgOs
Source: the Alexandria database
Functional: PBE
Structure: relaxed

- Volume: 21.9 Å³ per atom
- Formation energy from the elements: 1.17 eV/atom

Unit cell a=4.5287 b=4.5287 c=4.5287 alpha=60.00 beta=60.00 gamma=60.00
Closest atoms and distances in Å follow each position.
Positions (direct):
1 Ag 0.5000 0.5000 0.5000  4 Os 2.77
2 Os 0.7500 0.7500 0.7500  4 Ag 2.77, 4 Tl 2.77
3 Tl 0.0000 0.0000 0.0000  4 Os 2.77